{
  "formula": "CaGa4S7",
  "functional": "PBE",
  "state": "relaxed",
  "formation_energy_uncorrected_ev_per_fu": -10.72,
  "dft_energy_ry_per_atom": -0.32904,
  "dos_ef_per_ev_atom": 0.000,
  "lattice_angstrom": [[-2.338, 5.674, 0.541], [-4.308, -1.350, -4.458], [-9.529, -4.946, 10.706]],
  "species": ["Ca", "Ca", "Ga", "Ga", "Ga", "Ga", "Ga", "Ga", "Ga", "Ga", "S", "S", "S", "S", "S", "S", "S", "S", "S", "S", "S", "S", "S", "S"],
  "fractional_positions": [[0.322, 0.922, 0.500], [0.822, 0.078, 0.000], [0.611, 0.650, 0.879], [0.098, 0.836, 0.248], [0.598, 0.164, 0.252], [0.111, 0.350, 0.621], [0.111, 0.350, 0.379], [0.611, 0.650, 0.121], [0.098, 0.836, 0.752], [0.598, 0.164, 0.748], [0.974, 0.731, 0.115], [0.474, 0.269, 0.385], [0.518, 0.303, 0.883], [0.018, 0.697, 0.617], [0.018, 0.697, 0.383], [0.518, 0.303, 0.117], [0.481, 0.812, 0.751], [0.981, 0.188, 0.749], [0.981, 0.188, 0.251], [0.481, 0.812, 0.249], [0.466, 0.814, 0.000], [0.966, 0.186, 0.500], [0.974, 0.731, 0.885], [0.474, 0.269, 0.615]]
}